No. 1
DFT (GGA-PBE) results for a geometry-optimized Be2NbCdSi structure.

a b c (Å): 4.1470 4.1470 5.0137
angles (deg): 90.00 90.00 90.00
Last column: nearest neighbours and their distance in Å.
Positions (direct):
Be: 0.0000 0.5000 0.0000  2 Si 2.07
Be: 0.5000 0.0000 0.0000  2 Si 2.07
Nb: 0.0000 0.0000 0.5000  4 Cd 2.93, 8 Be 3.25
Cd: 0.5000 0.5000 0.5000  2 Si 2.51
Si: 0.5000 0.5000 0.0000  4 Be 2.07

Properties
E = -18.56 eV per cell
formation energy without anion corrections = 1.06 eV per atom

No. 2
DFT (GGA-PBE) results for a geometry-optimized AcCe2Au8 structure.

a b c (Å): 8.7860 8.7860 6.2381
angles (deg): 110.71 110.71 34.68
Last column: nearest neighbours and their distance in Å.
Positions (direct):
Ac: 0.0000 0.0000 0.0000  6 Au 3.21-3.39
Ce: 0.1840 0.1840 0.6840  12 Au 3.13-3.22
Ce: 0.8160 0.8160 0.3160  12 Au 3.13-3.22
Au: 0.2058 0.2058 0.2057  6 Au 3.01-3.17, 4 Ce 3.13-3.14, 1 Ac 3.21
Au: 0.2514 0.7486 0.5000  2 Au 2.60-2.63
Au: 0.3652 0.3652 0.0916  4 Au 2.82-3.01, 1 Ce 3.16
Au: 0.3651 0.3651 0.6387  4 Au 2.82-3.02, 1 Ce 3.15
Au: 0.6349 0.6349 0.3613  4 Au 2.82-3.02, 1 Ce 3.15
Au: 0.6348 0.6348 0.9084  4 Au 2.82-3.01, 1 Ce 3.16
Au: 0.7486 0.2514 0.5000  2 Au 2.60-2.63
Au: 0.7942 0.7942 0.7943  6 Au 3.01-3.17, 4 Ce 3.13-3.14, 1 Ac 3.21

Properties
E = -49.59 eV per cell
ΔE_f = -0.673 eV/atom

No. 3
DFT (GGA-PBE) results for a geometry-optimized Rb2SeIF6 structure.

a b c (Å): 6.8926 6.8926 6.8926
angles (deg): 116.75 116.75 95.72
Last column: nearest neighbours and their distance in Å.
Positions (direct):
Rb: 0.2500 0.7500 0.5000  12 F 3.50-3.63
Rb: 0.7500 0.2500 0.5000  12 F 3.50-3.63
Se: 0.0000 0.0000 0.0000  6 F 1.94-1.97
I: 0.5000 0.5000 0.0000  2 F 2.66
F: 0.1897 0.1897 0.3795  1 Se 1.94
F: 0.1897 0.8103 0.0000  1 Se 1.94
F: 0.2125 0.2125 0.0000  1 Se 1.97
F: 0.7875 0.7875 0.0000  1 Se 1.97
F: 0.8103 0.1897 0.0000  1 Se 1.94
F: 0.8103 0.8103 0.6205  1 Se 1.94

Properties
E = -36.81 eV per cell
formation energy without anion corrections = -1.86 eV per atom

No. 4
DFT (GGA-PBE) results for a geometry-optimized LaMgBe2Ru structure.

a b c (Å): 4.3670 4.3670 5.5785
angles (deg): 90.00 90.00 90.00
Last column: nearest neighbours and their distance in Å.
Positions (direct):
La: 0.0000 0.0000 0.0000  2 Mg 2.79, 4 Ru 3.09
Mg: 0.0000 0.0000 0.5000  4 Be 2.18
Be: 0.0000 0.5000 0.5000  2 Mg 2.18
Be: 0.5000 0.0000 0.5000  2 Mg 2.18
Ru: 0.5000 0.5000 0.0000  4 La 3.09

Properties
E = -16.44 eV per cell
ΔE_f = 1.362 eV/atom

No. 5
DFT (GGA-PBE) results for a geometry-optimized TlB2PC structure.

a b c (Å): 3.6869 3.6869 4.6520
angles (deg): 90.00 90.00 90.00
Last column: nearest neighbours and their distance in Å.
Positions (direct):
Tl: 0.0000 0.0000 0.0000  4 P 2.61
B: 0.0000 0.5000 0.5000  2 C 1.84
B: 0.5000 0.0000 0.5000  2 C 1.84
P: 0.5000 0.5000 0.0000  2 C 2.33
C: 0.5000 0.5000 0.5000  4 B 1.84

Properties
E = -21.39 eV per cell
ΔE_f = 1.793 eV/atom

No. 6
DFT (GGA-PBE) results for a geometry-optimized CaMg4Ir structure.

a b c (Å): 5.6122 5.6122 5.6122
angles (deg): 60.00 60.00 60.00
Last column: nearest neighbours and their distance in Å.
Positions (direct):
Ca: 0.0000 0.0000 0.0000  12 Mg 3.29, 4 Ir 3.44
Mg: 0.3763 0.3763 0.3763  6 Mg 2.78-2.84
Mg: 0.3763 0.3763 0.8710  6 Mg 2.78-2.84
Mg: 0.3763 0.8710 0.3763  6 Mg 2.78-2.84
Mg: 0.8710 0.3763 0.3763  6 Mg 2.78-2.84
Ir: 0.7500 0.7500 0.7500  12 Mg 3.29, 4 Ca 3.44

Properties
E = -16.74 eV per cell
ΔE_f = 0.083 eV/atom

No. 7
DFT (GGA-PBE) results for a geometry-optimized MoP2HS structure.

a b c (Å): 4.7238 4.7238 4.6377
angles (deg): 90.00 90.00 90.00
Last column: nearest neighbours and their distance in Å.
Positions (direct):
Mo: 0.0000 0.0000 0.0000  2 S 2.32, 4 P 2.36
P: 0.0000 0.5000 0.0000  2 Mo 2.36
P: 0.5000 0.0000 0.0000  2 Mo 2.36
H: 0.5000 0.5000 0.5000  8 P 3.31, 4 S 3.34
S: 0.0000 0.0000 0.5000  2 Mo 2.32

Properties
E = -25.18 eV per cell

No. 8
DFT (GGA-PBE) results for a geometry-optimized InCoAs2 structure.

a b c (Å): 3.8949 3.8949 4.7435
angles (deg): 90.00 90.00 90.00
Last column: nearest neighbours and their distance in Å.
Positions (direct):
In: 0.0000 0.0000 0.0000  4 Co 2.75, 8 As 3.07
Co: 0.5000 0.5000 0.0000  4 In 2.75, 8 As 3.07
As: 0.0000 0.5000 0.5000  4 As 2.75, 4 Co 3.07, 4 In 3.07
As: 0.5000 0.0000 0.5000  4 As 2.75, 4 Co 3.07, 4 In 3.07

Properties
E = -17.46 eV per cell
ΔE_f = 0.420 eV/atom

No. 9
DFT (GGA-PBE) results for a geometry-optimized CdCoRe structure.

a b c (Å): 6.1427 6.1427 6.1427
angles (deg): 153.76 153.76 37.45
Last column: nearest neighbours and their distance in Å.
Positions (direct):
Cd: 0.0000 0.0000 0.0000  4 Cd 2.79, 4 Co 2.84, 4 Re 3.02
Co: 0.6756 0.6756 0.0000  4 Re 2.47
Re: 0.3034 0.3034 0.0000  4 Co 2.47

Properties
E = -19.62 eV per cell
ΔE_f = 0.282 eV/atom

No. 10
DFT (GGA-PBE) results for a geometry-optimized Rb2TlBi2 structure.

a b c (Å): 7.2008 7.2008 9.7623
angles (deg): 99.40 99.40 63.31
Last column: nearest neighbours and their distance in Å.
Positions (direct):
Rb: 0.0147 0.2881 0.1409  6 Bi 3.84-4.14, 2 Tl 3.98-4.24
Rb: 0.2881 0.0147 0.6409  6 Bi 3.84-4.14, 2 Tl 3.98-4.24
Rb: 0.7119 0.9853 0.3591  6 Bi 3.84-4.14, 2 Tl 3.98-4.24
Rb: 0.9853 0.7119 0.8591  6 Bi 3.84-4.14, 2 Tl 3.98-4.24
Tl: 0.4344 0.5656 0.2500  4 Bi 3.20-3.22
Tl: 0.5656 0.4344 0.7500  4 Bi 3.20-3.22
Bi: 0.2078 0.5228 0.4933  1 Bi 3.18, 2 Tl 3.20-3.22
Bi: 0.4772 0.7922 0.0067  1 Bi 3.18, 2 Tl 3.20-3.22
Bi: 0.5228 0.2078 0.9933  1 Bi 3.18, 2 Tl 3.20-3.22
Bi: 0.7922 0.4772 0.5067  1 Bi 3.18, 2 Tl 3.20-3.22

Properties
E = -26.86 eV per cell
ΔE_f = -0.274 eV/atom

No. 11
DFT (GGA-PBE) results for a geometry-optimized CaAl10Os2 structure.

a b c (Å): 6.8834 6.8834 9.1702
angles (deg): 90.00 90.00 96.47
Last column: nearest neighbours and their distance in Å.
Positions (direct):
Ca: 0.1264 0.8736 0.7500  14 Al 3.18-3.34, 4 Os 3.48
Ca: 0.8736 0.1264 0.2500  14 Al 3.18-3.34, 4 Os 3.48
Al: 0.1436 0.4136 0.7500  2 Os 2.59, 6 Al 2.68-2.79
Al: 0.1556 0.8444 0.0999  6 Al 2.62-2.91, 2 Os 2.65
Al: 0.1556 0.8444 0.4001  6 Al 2.62-2.91, 2 Os 2.65
Al: 0.2172 0.4767 0.2500  7 Al 2.68-2.95, 2 Os 2.75
Al: 0.2231 0.2231 0.0000  2 Os 2.58, 8 Al 2.73-2.88
Al: 0.2231 0.2231 0.5000  2 Os 2.58, 8 Al 2.73-2.88
Al: 0.3766 0.6234 0.5421  6 Al 2.62-2.86, 2 Os 2.66
Al: 0.3766 0.6234 0.9579  6 Al 2.62-2.86, 2 Os 2.66
Al: 0.4136 0.1436 0.2500  2 Os 2.59, 6 Al 2.68-2.79
Al: 0.4767 0.2172 0.7500  7 Al 2.68-2.95, 2 Os 2.75
Al: 0.5233 0.7828 0.2500  7 Al 2.68-2.95, 2 Os 2.75
Al: 0.5864 0.8564 0.7500  2 Os 2.59, 6 Al 2.68-2.79
Al: 0.6234 0.3766 0.0421  6 Al 2.62-2.86, 2 Os 2.66
Al: 0.6234 0.3766 0.4579  6 Al 2.62-2.86, 2 Os 2.66
Al: 0.7769 0.7769 0.0000  2 Os 2.58, 8 Al 2.73-2.88
Al: 0.7769 0.7769 0.5000  2 Os 2.58, 8 Al 2.73-2.88
Al: 0.7828 0.5233 0.7500  7 Al 2.68-2.95, 2 Os 2.75
Al: 0.8444 0.1556 0.5999  6 Al 2.62-2.91, 2 Os 2.65
Al: 0.8444 0.1556 0.9001  6 Al 2.62-2.91, 2 Os 2.65
Al: 0.8564 0.5864 0.2500  2 Os 2.59, 6 Al 2.68-2.79
Os: 0.0000 0.5000 0.0000  10 Al 2.58-2.75
Os: 0.0000 0.5000 0.5000  10 Al 2.58-2.75
Os: 0.5000 0.0000 0.0000  10 Al 2.58-2.75
Os: 0.5000 0.0000 0.5000  10 Al 2.58-2.75

Properties
E = -134.23 eV per cell
ΔE_f = -0.402 eV/atom

No. 12
DFT (GGA-PBE) results for a geometry-optimized Pm10ErTm6 structure.

a b c (Å): 9.7496 9.7496 6.8496
angles (deg): 90.00 90.00 120.00
Last column: nearest neighbours and their distance in Å.
Positions (direct):
Pm: 0.0000 0.2755 0.3166  5 Tm 3.36-3.57, 1 Er 3.45, 2 Pm 3.68
Pm: 0.0000 0.7245 0.6834  5 Tm 3.36-3.57, 1 Er 3.45, 2 Pm 3.68
Pm: 0.2755 0.0000 0.3166  5 Tm 3.36-3.57, 1 Er 3.45, 2 Pm 3.68
Pm: 0.2755 0.2755 0.6834  5 Tm 3.36-3.57, 1 Er 3.45, 2 Pm 3.68
Pm: 0.3333 0.6667 0.0000  6 Tm 3.35, 2 Pm 3.42
Pm: 0.3333 0.6667 0.5000  8 Pm 3.42-3.78, 6 Tm 3.76
Pm: 0.6667 0.3333 0.0000  6 Tm 3.35, 2 Pm 3.42
Pm: 0.6667 0.3333 0.5000  8 Pm 3.42-3.78, 6 Tm 3.76
Pm: 0.7245 0.0000 0.6834  5 Tm 3.36-3.57, 1 Er 3.45, 2 Pm 3.68
Pm: 0.7245 0.7245 0.3166  5 Tm 3.36-3.57, 1 Er 3.45, 2 Pm 3.68
Er: 0.0000 0.0000 0.0000  6 Pm 3.45, 6 Tm 3.82
Tm: 0.0000 0.3693 0.8122  7 Pm 3.35-3.57, 1 Tm 3.62
Tm: 0.0000 0.6307 0.1878  7 Pm 3.35-3.57, 1 Tm 3.62
Tm: 0.3693 0.0000 0.8122  7 Pm 3.35-3.57, 1 Tm 3.62
Tm: 0.3693 0.3693 0.1878  7 Pm 3.35-3.57, 1 Tm 3.62
Tm: 0.6307 0.0000 0.1878  7 Pm 3.35-3.57, 1 Tm 3.62
Tm: 0.6307 0.6307 0.8122  7 Pm 3.35-3.57, 1 Tm 3.62

Properties
E = -76.73 eV per cell
ΔE_f = 0.128 eV/atom

No. 13
DFT (GGA-PBE) results for a geometry-optimized ZrScCoTc structure.

a b c (Å): 3.2402 3.2402 6.3765
angles (deg): 90.00 90.00 90.00
Last column: nearest neighbours and their distance in Å.
Positions (direct):
Zr: 0.0000 0.0000 0.0000  4 Co 2.76, 4 Tc 2.79
Sc: 0.0000 0.0000 0.4933  4 Co 2.80, 4 Tc 2.82
Co: 0.5000 0.5000 0.2418  4 Zr 2.76, 4 Sc 2.80
Tc: 0.5000 0.5000 0.7500  4 Zr 2.79, 4 Sc 2.82

Properties
E = -33.56 eV per cell
ΔE_f = -0.301 eV/atom

No. 14
DFT (GGA-PBE) results for a geometry-optimized Cs2AgBr structure.

a b c (Å): 9.3540 9.3540 9.3540
angles (deg): 32.92 32.92 32.92
Last column: nearest neighbours and their distance in Å.
Positions (direct):
Cs: 0.2456 0.2456 0.2456  3 Br 3.71, 3 Ag 3.84
Cs: 0.7544 0.7544 0.7544  3 Br 3.71, 3 Ag 3.84
Ag: 0.0000 0.0000 0.0000  6 Cs 3.84
Br: 0.5000 0.5000 0.5000  6 Cs 3.71

Properties
E = -9.59 eV per cell
formation energy without anion corrections = -0.84 eV per atom

No. 15
DFT (GGA-PBE) results for a geometry-optimized Na2LiSO4 structure.

a b c (Å): 5.6115 5.6115 5.6115
angles (deg): 124.23 124.23 82.82
Last column: nearest neighbours and their distance in Å.
Positions (direct):
Na: 0.0000 0.0000 0.0000  4 O 2.57
Na: 0.7500 0.2500 0.5000  4 O 2.67
Li: 0.5000 0.5000 0.0000  4 O 2.09
S: 0.2500 0.7500 0.5000  4 O 1.51
O: 0.2314 0.0553 0.5798  1 S 1.51
O: 0.3484 0.7686 0.8239  1 S 1.51
O: 0.4754 0.6516 0.4202  1 S 1.51
O: 0.9447 0.5246 0.1761  1 S 1.51

Properties
E = -40.03 eV per cell
formation energy without anion corrections = -1.44 eV per atom

No. 16
DFT (GGA-PBE) results for a geometry-optimized BaGd3 structure.

a b c (Å): 6.1485 6.1485 3.9435
angles (deg): 90.00 90.00 90.00
Last column: nearest neighbours and their distance in Å.
Positions (direct):
Ba: 0.0000 0.0000 0.0000  8 Gd 3.65, 2 Ba 3.94
Gd: 0.0000 0.5000 0.5000  6 Gd 3.65-3.94, 4 Ba 3.65
Gd: 0.5000 0.0000 0.5000  6 Gd 3.65-3.94, 4 Ba 3.65
Gd: 0.5000 0.5000 0.0000  10 Gd 3.65-3.94

Properties
E = -43.15 eV per cell
ΔE_f = 0.255 eV/atom

No. 17
DFT (GGA-PBE) results for a geometry-optimized BaOs2Rh structure.

a b c (Å): 5.6309 5.6309 5.8108
angles (deg): 108.51 108.51 29.70
Last column: nearest neighbours and their distance in Å.
Positions (direct):
Ba: 0.0000 0.0000 0.0000  2 Ba 2.89
Os: 0.2137 0.2137 0.6401  2 Os 2.49, 2 Rh 2.63
Os: 0.7863 0.7863 0.3599  2 Os 2.49, 2 Rh 2.63
Rh: 0.5000 0.5000 0.5000  4 Os 2.63, 2 Rh 2.89

Properties
E = -28.59 eV per cell
ΔE_f = 0.785 eV/atom

No. 18
DFT (GGA-PBE) results for a geometry-optimized Pr8CuSe3Br4 structure.

a b c (Å): 8.7755 8.7755 8.7755
angles (deg): 58.45 58.45 58.45
Last column: nearest neighbours and their distance in Å.
Positions (direct):
Pr: 0.2379 0.2379 0.2379  3 Se 2.92, 3 Br 3.23
Pr: 0.2505 0.7316 0.7316  1 Cu 2.84, 2 Se 2.96
Pr: 0.2684 0.2684 0.7495  1 Cu 2.84, 2 Se 2.96
Pr: 0.2684 0.7495 0.2684  1 Cu 2.84, 2 Se 2.96
Pr: 0.7316 0.2505 0.7316  1 Cu 2.84, 2 Se 2.96
Pr: 0.7316 0.7316 0.2505  1 Cu 2.84, 2 Se 2.96
Pr: 0.7495 0.2684 0.2684  1 Cu 2.84, 2 Se 2.96
Pr: 0.7621 0.7621 0.7621  3 Se 2.92, 3 Br 3.23
Cu: 0.5000 0.5000 0.5000  6 Pr 2.84
Se: 0.0000 0.0000 0.5000  6 Pr 2.92-2.96
Se: 0.0000 0.5000 0.0000  6 Pr 2.92-2.96
Se: 0.5000 0.0000 0.0000  6 Pr 2.92-2.96
Br: 0.0000 0.0000 0.0000  6 Pr 3.30
Br: 0.0000 0.5000 0.5000  6 Pr 3.19-3.23
Br: 0.5000 0.0000 0.5000  6 Pr 3.19-3.23
Br: 0.5000 0.5000 0.0000  6 Pr 3.19-3.23

Properties
E = -80.18 eV per cell
formation energy without anion corrections = -1.29 eV per atom

No. 19
DFT (GGA-PBE) results for a geometry-optimized SrHoCuPd structure.

a b c (Å): 5.0892 5.0892 5.0892
angles (deg): 60.00 60.00 60.00
Last column: nearest neighbours and their distance in Å.
Positions (direct):
Sr: 0.0000 0.0000 0.0000  4 Cu 3.12, 4 Pd 3.12
Ho: 0.5000 0.5000 0.5000  4 Cu 3.12, 4 Pd 3.12
Cu: 0.2500 0.2500 0.2500  4 Ho 3.12, 4 Sr 3.12
Pd: 0.7500 0.7500 0.7500  4 Ho 3.12, 4 Sr 3.12

Properties
E = -16.87 eV per cell
ΔE_f = -0.330 eV/atom

No. 20
DFT (GGA-PBE) results for a geometry-optimized Sr2Cu4SnSb3 structure.

a b c (Å): 4.5509 4.5509 11.0038
angles (deg): 90.00 90.00 90.00
Last column: nearest neighbours and their distance in Å.
Positions (direct):
Sr: 0.0000 0.5000 0.2368  6 Sb 3.43-3.68, 8 Cu 3.46-3.51, 2 Sn 3.68
Sr: 0.5000 0.0000 0.7632  6 Sb 3.43-3.68, 8 Cu 3.46-3.51, 2 Sn 3.68
Cu: 0.0000 0.0000 0.0000  4 Sb 2.68
Cu: 0.0000 0.5000 0.6364  3 Sb 2.58-2.73, 2 Sn 2.73
Cu: 0.5000 0.0000 0.3636  3 Sb 2.58-2.73, 2 Sn 2.73
Cu: 0.5000 0.5000 0.0000  4 Sb 2.68
Sn: 0.0000 0.0000 0.5000  4 Cu 2.73
Sb: 0.0000 0.5000 0.8713  5 Cu 2.58-2.68
Sb: 0.5000 0.0000 0.1287  5 Cu 2.58-2.68
Sb: 0.5000 0.5000 0.5000  4 Cu 2.73

Properties
E = -40.53 eV per cell
formation energy without anion corrections = -0.44 eV per atom

No. 21
DFT (GGA-PBE) results for a geometry-optimized Li2TbPmSe4 structure.

a b c (Å): 6.9350 4.1333 7.1586
angles (deg): 90.00 110.10 90.00
Last column: nearest neighbours and their distance in Å.
Positions (direct):
Li: 0.0000 0.0000 0.0000  6 Se 2.89
Li: 0.0000 0.5000 0.5000  6 Se 2.84-2.85
Tb: 0.5000 0.0000 0.5000  6 Se 2.89
Pm: 0.5000 0.5000 0.0000  6 Se 2.93
Se: 0.2426 0.0000 0.7428  3 Li 2.85-2.89, 1 Tb 2.89, 2 Pm 2.93
Se: 0.2450 0.5000 0.2531  3 Li 2.84-2.89, 2 Tb 2.89, 1 Pm 2.93
Se: 0.7550 0.5000 0.7469  3 Li 2.84-2.89, 2 Tb 2.89, 1 Pm 2.93
Se: 0.7574 0.0000 0.2572  3 Li 2.85-2.89, 1 Tb 2.89, 2 Pm 2.93

Properties
E = -40.61 eV per cell
formation energy without anion corrections = -1.68 eV per atom

No. 22
DFT (GGA-PBE) results for a geometry-optimized CaSnHg2 structure.

a b c (Å): 7.0697 7.0697 7.0697
angles (deg): 151.55 133.43 55.48
Last column: nearest neighbours and their distance in Å.
Positions (direct):
Ca: 0.0000 0.0000 0.0000  2 Hg 3.22, 4 Sn 3.29, 2 Ca 3.47
Sn: 0.5000 0.5000 0.0000  2 Hg 3.03, 4 Ca 3.29
Hg: 0.2576 0.2576 0.0000  1 Sn 3.03, 1 Ca 3.22, 4 Hg 3.30
Hg: 0.7424 0.7424 0.0000  1 Sn 3.03, 1 Ca 3.22, 4 Hg 3.30

Properties
E = -7.42 eV per cell
ΔE_f = -0.204 eV/atom